No. 1
First-principles (PBE) data for a relaxed structure of AcNbAsO, as listed in OQMD via LeMat-Bulk.

a = 3.923 Å, b = 6.336 Å, c = 7.290 Å
α = 90.00°, β = 90.00°, γ = 90.00°
Element x y z (fractional)
Ac  0.000  0.226  0.000
Ac  0.000  0.774  0.500
Nb  0.500  0.239  0.406
Nb  0.500  0.761  0.906
As  0.500  0.438  0.700
As  0.500  0.562  0.200
O  0.000  0.138  0.358
O  0.000  0.862  0.858

## Properties
Size of the total moment, Bohr magnetons per cell: 0.01
Excess energy over the best structure of this formula in the dataset, kcal/mol of atoms: 11.94
ρ, kg/m3: 7530
VASP energy, eV per formula unit: -29.262


No. 2
First-principles (PBE) data for a relaxed structure of AcNbAsO, as listed in OQMD via LeMat-Bulk.

a = 4.133 Å, b = 4.133 Å, c = 9.778 Å
α = 90.00°, β = 90.00°, γ = 90.00°
Element x y z (fractional)
Ac  0.250  0.250  0.135
Ac  0.750  0.750  0.865
Nb  0.250  0.750  0.500
Nb  0.750  0.250  0.500
As  0.250  0.250  0.676
As  0.750  0.750  0.324
O  0.250  0.750  0.000
O  0.750  0.250  0.000

## Properties
Size of the total moment, Bohr magnetons per cell: 0.32
Excess energy over the best structure of this formula in the dataset, kcal/mol of atoms: 0.00
ρ, kg/m3: 8167
VASP energy, eV per formula unit: -31.333


Repeat the second record exactly.
First-principles (PBE) data for a relaxed structure of AcNbAsO, as listed in OQMD via LeMat-Bulk.

a = 4.133 Å, b = 4.133 Å, c = 9.778 Å
α = 90.00°, β = 90.00°, γ = 90.00°
Element x y z (fractional)
Ac  0.250  0.250  0.135
Ac  0.750  0.750  0.865
Nb  0.250  0.750  0.500
Nb  0.750  0.250  0.500
As  0.250  0.250  0.676
As  0.750  0.750  0.324
O  0.250  0.750  0.000
O  0.750  0.250  0.000

## Properties
Size of the total moment, Bohr magnetons per cell: 0.32
Excess energy over the best structure of this formula in the dataset, kcal/mol of atoms: 0.00
ρ, kg/m3: 8167
VASP energy, eV per formula unit: -31.333